This record from the Alexandria database describes crystalline TmSc5In4 at its relaxed geometry. The functional is GGA-PBE.

```
10
Lattice="3.361 0.000 0.000 0.000 3.361 0.000 0.000 0.000 20.816" Properties=species:S:1:pos:R:3 pbc="T T T"
Tm 0.000 0.000 0.000
Sc 1.680 1.680 2.359
Sc 1.680 1.680 6.364
Sc 1.680 1.680 10.408
Sc 1.680 1.680 14.452
Sc 1.680 1.680 18.457
In 0.000 0.000 4.351
In 0.000 0.000 8.385
In 0.000 0.000 12.431
In 0.000 0.000 16.465
```

Calculated values
relative energy among the computed polymorphs	0.000	eV per formula unit